1.
Density functional theory data (SCAN) for a crystal of HfIn3Pd relaxed with PBEsol.

Output
E_form   0.382 eV per atom

Cell lengths 4.973, 4.973, 4.973 Å; angles 90.00, 90.00, 90.00 degrees
Positions (direct):
In1 0.000 0.000 0.500
Pd1 0.000 0.000 0.000
Hf1 0.500 0.500 0.500
In2 0.000 0.500 0.000
In3 0.500 0.000 0.000

=====

2.
Density functional theory data (SCAN) for a crystal of NaCrCl2 relaxed with PBEsol.

Output
Formation energy without anion corrections   -1.0583 eV per atom

Cell lengths 4.738, 4.738, 4.738 Å; angles 60.00, 60.00, 60.00 degrees
Positions (direct):
Cr1 0.500 0.500 0.500
Cl1 0.750 0.750 0.750
Na1 0.000 0.000 0.000
Cl2 0.250 0.250 0.250

=====

3.
Density functional theory data (SCAN) for a crystal of In4CuAg3Te8 relaxed with PBEsol.

Output
Formation energy without anion corrections   -0.2917 eV per atom

Cell lengths 6.358, 6.358, 12.710 Å; angles 90.00, 90.00, 90.00 degrees
Positions (direct):
Ag1 0.500 0.000 0.743
In1 0.500 0.000 0.254
Te1 0.737 0.271 0.383
Ag2 0.000 0.000 0.000
In2 0.000 0.500 0.746
Ag3 0.000 0.500 0.257
Te2 0.238 0.250 0.127
Te3 0.750 0.238 0.873
Te4 0.263 0.729 0.383
Te5 0.250 0.762 0.873
In3 0.500 0.500 0.000
Te6 0.271 0.263 0.617
In4 0.000 0.000 0.500
Cu1 0.500 0.500 0.500
Te7 0.729 0.737 0.617
Te8 0.762 0.750 0.127

=====

4.
Density functional theory data (SCAN) for a crystal of RbRe3Pt relaxed with PBEsol.

Output
E_form   4.412 eV per atom

Cell lengths 4.542, 4.542, 4.542 Å; angles 90.00, 90.00, 90.00 degrees
Positions (direct):
Pt1 0.500 0.500 0.500
Re1 0.000 0.500 0.000
Rb1 0.000 0.000 0.000
Re2 0.000 0.000 0.500
Re3 0.500 0.000 0.000

=====

5.
Density functional theory data (SCAN) for a crystal of Ca2BiTe relaxed with PBEsol.

Output
Formation energy without anion corrections   -1.0035 eV per atom

Cell lengths 5.500, 5.500, 5.500 Å; angles 60.00, 60.00, 60.00 degrees
Positions (direct):
Bi1 0.500 0.500 0.500
Ca1 0.750 0.750 0.750
Ca2 0.250 0.250 0.250
Te1 0.000 0.000 0.000

=====

6.
Density functional theory data (SCAN) for a crystal of MgGeO3 relaxed with PBEsol.

Output
Formation energy without anion corrections   -1.8456 eV per atom

Cell lengths 3.685, 3.685, 3.685 Å; angles 90.00, 90.00, 90.00 degrees
Positions (direct):
O1 0.000 0.500 0.000
Ge1 0.000 0.000 0.000
O2 0.000 0.000 0.500
Mg1 0.500 0.500 0.500
O3 0.500 0.000 0.000

=====

7.
Density functional theory data (SCAN) for a crystal of Mo2Rh2Pb relaxed with PBEsol.

Output
E_form   0.267 eV per atom

Cell lengths 3.581, 3.581, 7.112 Å; angles 104.58, 104.58, 90.00 degrees
Positions (direct):
Rh1 0.399 0.399 0.798
Mo1 0.750 0.250 0.500
Rh2 0.601 0.601 0.202
Pb1 0.000 0.000 0.000
Mo2 0.250 0.750 0.500

=====

8.
Density functional theory data (SCAN) for a crystal of ZnTe2 relaxed with PBEsol.

Output
Formation energy without anion corrections   0.1681 eV per atom

Cell lengths 3.653, 3.653, 11.596 Å; angles 99.06, 99.06, 90.00 degrees
Positions (direct):
Te1 0.682 0.182 0.363
Te2 0.432 0.432 0.863
Zn1 0.000 0.000 0.000
Te3 0.568 0.568 0.137
Zn2 0.250 0.750 0.500
Te4 0.818 0.318 0.637

=====

9.
Density functional theory data (SCAN) for a crystal of CsBe2HgS relaxed with PBEsol.

Output
Formation energy without anion corrections   1.5576 eV per atom

Cell lengths 5.479, 6.845, 6.845 Å; angles 90.00, 90.00, 90.00 degrees
Positions (direct):
Cs1 0.000 0.000 0.000
Hg1 0.500 0.500 0.500
S1 0.500 0.000 0.000
Be1 0.000 0.500 0.000
Be2 0.000 0.000 0.500

=====

10.
Density functional theory data (SCAN) for a crystal of NiAsP2 relaxed with PBEsol.

Output
E_form   0.532 eV per atom

Cell lengths 4.169, 4.169, 4.169 Å; angles 101.62, 113.53, 113.53 degrees
Positions (direct):
P1 0.500 0.750 0.250
P2 0.000 0.000 0.000
As1 0.000 0.500 0.500
Ni1 0.500 0.250 0.750

=====

11.
Density functional theory data (SCAN) for a crystal of ScCuGe relaxed with PBEsol.

Output
E_form   -0.750 eV per atom

Cell lengths 3.938, 6.435, 6.435 Å; angles 120.00, 90.00, 90.00 degrees
Positions (direct):
Sc1 0.500 0.429 0.429
Ge1 0.000 0.333 0.667
Cu1 0.000 0.242 0.000
Sc2 0.500 0.000 0.571
Ge2 0.500 0.000 0.000
Ge3 0.000 0.667 0.333
Cu2 0.000 0.000 0.242
Sc3 0.500 0.571 0.000
Cu3 0.000 0.758 0.758

=====

12.
Density functional theory data (SCAN) for a crystal of Fe2AsP relaxed with PBEsol.

Output
E_form   0.124 eV per atom

Cell lengths 2.835, 3.993, 3.993 Å; angles 90.00, 90.00, 90.00 degrees
Positions (direct):
Fe1 0.000 0.500 0.000
Fe2 0.000 0.000 0.500
As1 0.500 0.500 0.500
P1 0.500 0.000 0.000